1.
# La2YCl, relaxed, DFT PBE
data_La2YCl
_cell_length_a 3.5694
_cell_length_b 3.5694
_cell_length_c 9.6432
_cell_angle_alpha 90.00
_cell_angle_beta 90.00
_cell_angle_gamma 90.00
_space_group_name_H-M_alt 'P 1'
_space_group_IT_number 1
loop_
_space_group_symop_operation_xyz
'x,y,z'
loop_
_atom_site_label
_atom_site_fract_x
_atom_site_fract_y
_atom_site_fract_z
_atom_site_occupancy
La1 0.0000 0.0000 0.0000 1
La2 0.5000 0.5000 0.2768 1
Y1 0.0000 0.0000 0.5403 1
Cl1 0.5000 0.5000 0.7529 1
# DOS at the Fermi energy = 3.42 states/eV per cell
# V = 30.72 A^3/atom
# SG = No. 99
# Formation energy without anion corrections = -0.535 eV per atom
# Offset from the most stable computed form = 144 meV/atom

2.
# TiMnPb, relaxed, DFT PBE
data_TiMnPb
_cell_length_a 3.5783
_cell_length_b 3.5786
_cell_length_c 11.1337
_cell_angle_alpha 90.06
_cell_angle_beta 90.04
_cell_angle_gamma 119.99
_space_group_name_H-M_alt 'P 1'
_space_group_IT_number 1
loop_
_space_group_symop_operation_xyz
'x,y,z'
loop_
_atom_site_label
_atom_site_fract_x
_atom_site_fract_y
_atom_site_fract_z
_atom_site_occupancy
Ti1 0.0000 0.0000 0.0000 1
Ti2 0.0015 0.0017 0.3060 1
Mn1 0.3341 0.6676 0.1766 1
Mn2 0.6672 0.3340 0.1286 1
Pb1 0.6631 0.3302 0.7920 1
Pb2 0.6709 0.3381 0.5144 1
# DOS at the Fermi energy = 4.95 states/eV per cell
# V = 20.58 A^3/atom
# SG = No. 1
# Calculated formation energy = 0.104 eV/atom

Which formula does entry 2 have?
TiMnPb

What did the second record say?
# TiMnPb, relaxed, DFT PBE
data_TiMnPb
_cell_length_a 3.5783
_cell_length_b 3.5786
_cell_length_c 11.1337
_cell_angle_alpha 90.06
_cell_angle_beta 90.04
_cell_angle_gamma 119.99
_space_group_name_H-M_alt 'P 1'
_space_group_IT_number 1
loop_
_space_group_symop_operation_xyz
'x,y,z'
loop_
_atom_site_label
_atom_site_fract_x
_atom_site_fract_y
_atom_site_fract_z
_atom_site_occupancy
Ti1 0.0000 0.0000 0.0000 1
Ti2 0.0015 0.0017 0.3060 1
Mn1 0.3341 0.6676 0.1766 1
Mn2 0.6672 0.3340 0.1286 1
Pb1 0.6631 0.3302 0.7920 1
Pb2 0.6709 0.3381 0.5144 1
# DOS at the Fermi energy = 4.95 states/eV per cell
# V = 20.58 A^3/atom
# SG = No. 1
# Calculated formation energy = 0.104 eV/atom

What is the DOS at the Fermi energy in the second record?
4.95 states/eV per cell

Among the records above, which one has the lowest DOS at the Fermi energy?
La2YCl